[1]
Entry from Alexandria via LeMat-Bulk: a relaxed DyAl3 crystal (PBE-GGA).

Cell: 6.1231 6.1231 9.5432 Å, 90.00 90.00 120.00°
Space group P6_3/mmc (No. 194)
Unique sites:
Dy (0.0000, 0.0000, 0.0000)
Dy (0.3333, 0.6667, 0.2500)
Al (0.0000, 0.5000, 0.0000)
Al (0.1829, 0.3658, 0.7500)

## Properties
Formation energy from the elements (eV/f.u.): -1.73
Magnetization (μB/cell): 0.0
Density of states at the Fermi level (states/eV/f.u.): 0.88
Final energy (eV/atom): -4.390

[2]
Entry from Alexandria via LeMat-Bulk: a relaxed DyAl6 crystal (PBE-GGA).

Cell: 5.894 5.894 7.869 Å, 90.00 90.00 90.00°
Space group P4/nbm (No. 125, origin choice 2)
Unique sites:
Dy (0.250, 0.750, 0.000)
Al (0.075, 0.575, 0.355)
Al (0.250, 0.250, 0.160)

## Properties
Formation energy from the elements (eV/f.u.): -1.27
Magnetization (μB/cell): 0.0
Density of states at the Fermi level (states/eV/f.u.): 1.54
Final energy (eV/atom): -4.047

[3]
Entry from Alexandria via LeMat-Bulk: a relaxed Dy2Al17 crystal (PBE-GGA).

Cell: 9.4421 9.4421 8.9403 Å, 90.00 90.00 120.00°
Space group P6_3/mmc (No. 194)
Unique sites:
Dy (0.0000, 0.0000, 0.2500)
Dy (0.3333, 0.6667, 0.2500)
Al (0.0000, 0.5000, 0.0000)
Al (0.0377, 0.3652, 0.7500)
Al (0.1646, 0.3293, 0.0235)
Al (0.3333, 0.6667, 0.6020)

## Properties
Formation energy from the elements (eV/f.u.): -1.87
Magnetization (μB/cell): 0.0
Density of states at the Fermi level (states/eV/f.u.): 12.03
Final energy (eV/atom): -3.931